[1]
# K2SrOs

A geometry-optimized K2SrOs structure (GGA-PBE, Alexandria via LeMat-Bulk).

## Properties
Total energy   -2.56 eV/atom
Symmetry   I-42d
E above lowest polymorph   8.270 kcal/mol of atoms
Mass density   4.280 Mg/m³

Cell lengths 4.6387, 4.6387, 13.2532 Å; angles 79.92, 79.92, 90.00 degrees
With the nearest neighbours (Å) after each atom.
Element x y z (fractional)
Sr1 0.5000 0.5000 0.0000  4 Os 3.28, 4 K 3.64
Sr2 0.2500 0.7500 0.5000  4 Os 3.28, 4 K 3.64
Os1 0.0000 0.0000 0.0000  4 Sr 3.28, 4 K 3.57
Os2 0.7500 0.2500 0.5000  4 Sr 3.28, 4 K 3.57
K1 0.6496 0.1250 0.2500  4 K 3.12-3.45
K2 0.8750 0.8996 0.7500  4 K 3.12-3.45
K3 0.3750 0.3504 0.7500  4 K 3.12-3.45
K4 0.1004 0.6250 0.2500  4 K 3.12-3.45

---

[2]
# KSrOs2

A geometry-optimized KSrOs2 structure (GGA-PBE, Alexandria via LeMat-Bulk).

## Properties
Total energy   -4.86 eV/atom
Symmetry   F-43m
E above lowest polymorph   23.842 kcal/mol of atoms
Mass density   9.981 Mg/m³

Cell lengths 4.9232, 4.9232, 4.9232 Å; angles 60.00, 60.00, 60.00 degrees
With the nearest neighbours (Å) after each atom.
Element x y z (fractional)
Os1 0.2500 0.2500 0.2500  4 K 3.01, 4 Os 3.01
Os2 0.0000 0.0000 0.0000  4 Os 3.01, 4 Sr 3.01
K1 0.5000 0.5000 0.5000  4 Sr 3.01, 4 Os 3.01
Sr1 0.7500 0.7500 0.7500  4 Os 3.01, 4 K 3.01

---

[3]
# K2SrOs

A geometry-optimized K2SrOs structure (GGA-PBE, Alexandria via LeMat-Bulk).

## Properties
Total energy   -2.47 eV/atom
Symmetry   P4/mmm
E above lowest polymorph   10.333 kcal/mol of atoms
Mass density   4.113 Mg/m³

Cell lengths 3.3595, 3.3595, 12.7378 Å; angles 90.00, 90.00, 89.99 degrees
With the nearest neighbours (Å) after each atom.
Element x y z (fractional)
Os1 0.5000 0.5000 0.2500  4 Os 3.36, 8 K 3.36
K1 0.0000 0.0000 0.0629  4 K 3.36, 4 Os 3.36
K2 0.0000 0.0000 0.4371  4 K 3.36, 4 Os 3.36
Sr1 0.5000 0.5000 0.7500  4 Sr 3.36

---

[4]
# K2SrOs

A geometry-optimized K2SrOs structure (GGA-PBE, Alexandria via LeMat-Bulk).

## Properties
Total energy   -2.51 eV/atom
Symmetry   Pmmm
E above lowest polymorph   9.518 kcal/mol of atoms
Mass density   4.746 Mg/m³

Cell lengths 3.1617, 6.0442, 6.5194 Å; angles 90.00, 90.00, 90.00 degrees
With the nearest neighbours (Å) after each atom.
Element x y z (fractional)
Sr1 0.5000 0.5000 0.7500  2 Sr 3.16, 2 Os 3.26
K1 0.0000 0.0000 0.4685  3 K 2.85-3.16
K2 0.0000 0.0000 0.0315  3 K 2.85-3.16
Os1 0.5000 0.5000 0.2500  2 Os 3.16, 2 Sr 3.26

---

[5]
# KSr2Os

A geometry-optimized KSr2Os structure (GGA-PBE, Alexandria via LeMat-Bulk).

## Properties
Total energy   -2.89 eV/atom
Symmetry   F-43m
E above lowest polymorph   8.434 kcal/mol of atoms
Mass density   5.431 Mg/m³

Cell lengths 5.5927, 5.5927, 5.5927 Å; angles 60.00, 60.00, 60.00 degrees
With the nearest neighbours (Å) after each atom.
Element x y z (fractional)
K1 0.5000 0.5000 0.5000  4 Os 3.42, 4 Sr 3.42
Sr1 0.2500 0.2500 0.2500  4 K 3.42, 4 Sr 3.42
Sr2 0.0000 0.0000 0.0000  4 Os 3.42, 4 Sr 3.42
Os1 0.7500 0.7500 0.7500  4 K 3.42, 4 Sr 3.42

---

[6]
# KSr3Os

A geometry-optimized KSr3Os structure (GGA-PBE, Alexandria via LeMat-Bulk).

## Properties
Total energy   -1.53 eV/atom
Symmetry   Pm-3m
E above lowest polymorph   35.708 kcal/mol of atoms
Mass density   4.240 Mg/m³

Cell lengths 5.7765, 5.7765, 5.7765 Å; angles 90.00, 90.00, 90.00 degrees
With the nearest neighbours (Å) after each atom.
Element x y z (fractional)
Sr1 0.0000 0.5000 0.0000  2 K 2.89
Sr2 0.0000 0.0000 0.5000  2 K 2.89
Sr3 0.5000 0.0000 0.0000  2 K 2.89
Os1 0.5000 0.5000 0.5000  12 Sr 4.08
K1 0.0000 0.0000 0.0000  6 Sr 2.89

---

[7]
# K2SrOs

A geometry-optimized K2SrOs structure (GGA-PBE, Alexandria via LeMat-Bulk).

## Properties
Total energy   -2.64 eV/atom
Symmetry   P4/mmm
E above lowest polymorph   6.477 kcal/mol of atoms
Mass density   4.332 Mg/m³

Cell lengths 4.7404, 4.7413, 6.0723 Å; angles 90.00, 90.00, 90.00 degrees
With the nearest neighbours (Å) after each atom.
Element x y z (fractional)
K1 0.5000 0.5000 0.0000  4 K 3.35
K2 0.0000 0.0000 0.0000  4 K 3.35
Os1 0.5000 0.0000 0.5000  4 Sr 3.35
Sr1 0.0000 0.5000 0.5000  4 Os 3.35

---

[8]
# K2SrOs

A geometry-optimized K2SrOs structure (GGA-PBE, Alexandria via LeMat-Bulk).

## Properties
Total energy   -2.61 eV/atom
Symmetry   P2/m
E above lowest polymorph   7.120 kcal/mol of atoms
Mass density   4.563 Mg/m³

Cell lengths 6.3571, 3.5677, 5.7255 Å; angles 86.15, 90.00, 90.00 degrees
With the nearest neighbours (Å) after each atom.
Element x y z (fractional)
Os1 0.5000 0.2500 0.2500  4 Sr 3.27-3.47, 4 K 3.54, 2 Os 3.57
K1 0.0000 0.4811 0.4693  2 K 3.06-3.10
K2 0.0000 0.0189 0.0307  2 K 3.06-3.10
Sr1 0.5000 0.7500 0.7500  4 Os 3.27-3.47, 2 Sr 3.57

---

[9]
# KSr2Os

A geometry-optimized KSr2Os structure (GGA-PBE, Alexandria via LeMat-Bulk).

## Properties
Total energy   -3.07 eV/atom
Symmetry   P4mm
E above lowest polymorph   4.371 kcal/mol of atoms
Mass density   4.068 Mg/m³

Cell lengths 4.2468, 4.2468, 9.1556 Å; angles 90.00, 90.00, 90.02 degrees
With the nearest neighbours (Å) after each atom.
Element x y z (fractional)
K1 0.0000 0.0000 0.5528  1 Sr 3.34
Os1 0.5000 0.5000 0.8533  5 Sr 2.95-3.06
Sr1 0.5000 0.5000 0.1760  1 Os 2.95
Sr2 0.0000 0.0000 0.9179  4 Os 3.06, 1 K 3.34

---

[10]
# KSrOs2

A geometry-optimized KSrOs2 structure (GGA-PBE, Alexandria via LeMat-Bulk).

## Properties
Total energy   -5.67 eV/atom
Symmetry   Pm
E above lowest polymorph   5.140 kcal/mol of atoms
Mass density   7.533 Mg/m³

Cell lengths 3.8951, 2.9616, 9.8918 Å; angles 78.45, 90.00, 90.00 degrees
With the nearest neighbours (Å) after each atom.
Element x y z (fractional)
Os1 0.0000 0.9061 0.0932  4 Os 2.53-2.62
Os2 0.5000 0.3249 0.1763  4 Os 2.53-2.62
K1 0.5000 0.6058 0.8251  2 K 2.96
Sr1 0.0000 0.6632 0.4054  2 Sr 2.96, 5 Os 3.03-3.32

---

[11]
# KSrOs2

A geometry-optimized KSrOs2 structure (GGA-PBE, Alexandria via LeMat-Bulk).

## Properties
Total energy   -5.46 eV/atom
Symmetry   C2/m
E above lowest polymorph   9.917 kcal/mol of atoms
Mass density   5.809 Mg/m³

Cell lengths 6.0036, 6.0036, 7.5472 Å; angles 58.05, 58.05, 40.18 degrees
With the nearest neighbours (Å) after each atom.
Element x y z (fractional)
Sr1 0.7500 0.7500 0.7500  6 Os 3.09-3.35
Os1 0.5096 0.5096 0.6696  2 Os 2.34
Os2 0.9904 0.9904 0.8304  2 Os 2.34
K1 0.2500 0.2500 0.2500  6 Os 3.46-3.65

---

[12]
# KSrOs2

A geometry-optimized KSrOs2 structure (GGA-PBE, Alexandria via LeMat-Bulk).

## Properties
Total energy   -4.97 eV/atom
Symmetry   C2/m
E above lowest polymorph   21.382 kcal/mol of atoms
Mass density   10.165 Mg/m³

Cell lengths 5.8443, 5.8443, 3.0072 Å; angles 89.97, 89.97, 126.23 degrees
With the nearest neighbours (Å) after each atom.
Element x y z (fractional)
Os1 0.0000 0.0000 0.0000  2 Os 2.64
Os2 0.5000 0.5000 0.0000  2 Os 2.64
K1 0.0000 0.5000 0.5000  2 Sr 2.64
Sr1 0.5000 0.0000 0.5000  2 K 2.64

---

| no. | Fermi-level density of states (states/eV/cell) | total magnetic moment (μB per atom) |
| --- | --- | --- |
| 1 | 9.2 | 0.2751 |
| 2 | 6.8 | 0.0013 |
| 3 | 3.1 | 0.5481 |
| 4 | 4.0 | 0.1315 |
| 5 | 6.1 | 0.0869 |
| 6 | 9.4 | 0.0002 |
| 7 | 4.3 | 0.4314 |
| 8 | 3.7 | 0.2722 |
| 9 | 5.9 | 0.2564 |
| 10 | 3.5 | 0.0000 |
| 11 | 4.0 | 0.0000 |
| 12 | 3.8 | 0.0000 |